(1)
Nd7SmCd2: relaxed, GGA-PBE.

**DFT formation energy**: 370 meV per atom
**Volume**: 39.9 Å³ per atom
**Total DFT energy (no corrections)**: -36.225 eV/cell

```
Nd7SmCd2
1.0
5.4046 0.0000 0.0000
0.0000 9.2755 -0.3956
0.0000 -4.4469 8.1496
Cd Nd Sm
2 7 1
Direct
0.5000 0.3034 0.6966
0.5000 0.6966 0.3034
0.5000 0.0656 0.3009
0.0000 0.2241 0.7759
0.5000 0.3009 0.0656
0.5000 0.5000 0.5000
0.5000 0.6991 0.9344
0.5000 0.9344 0.6991
0.0000 0.7759 0.2241
0.0000 0.0000 0.0000
```

(2)
Nd6Sm12Cd: relaxed, GGA-PBE.

**E above lowest polymorph**: 16 meV per atom
**DFT formation energy**: 107 meV per atom
**Volume**: 34.8 Å³ per atom
**Total DFT energy (no corrections)**: -84.116 eV/cell

```
Nd6Sm12Cd
1.0
-1.2869 4.8834 -7.1896
4.8463 -6.2772 -3.7821
-7.6751 -4.2725 -0.1791
Sm Nd Cd
12 6 1
Direct
0.5817 0.1708 0.5815
0.4183 0.8292 0.4185
0.1708 0.5815 0.5817
0.8292 0.4185 0.4183
0.9996 0.2605 0.7396
0.2604 0.0004 0.7395
0.5815 0.5817 0.1708
0.4185 0.4183 0.8292
0.0004 0.7395 0.2604
0.7395 0.2604 0.0004
0.7396 0.9996 0.2605
0.2605 0.7396 0.9996
0.1348 0.4067 0.1337
0.1337 0.1348 0.4067
0.8663 0.8652 0.5933
0.5933 0.8663 0.8652
0.8652 0.5933 0.8663
0.4067 0.1337 0.1348
0.0000 0.0000 0.0000
```